Rb2SrCd9 (GGA-PBE, optimized geometry); ΔE_f = -0.095 eV per atom; E_tot = -12.996 eV per formula unit; density of states at the Fermi level = 0.53 states/eV per atom; total magnetization = 0.0 μB/cell
1.0
-2.6812 -3.6788 4.2356
2.8906 -5.1636 1.9091
4.7730 2.5521 9.8020
Cd Rb Sr
9 2 1
Direct
0.5809 0.5809 0.7629
0.5809 0.0753 0.7629
0.6650 0.6650 0.0049
0.9247 0.4191 0.2371
0.3350 0.3350 0.9951
0.5000 0.5000 0.5000
0.4191 0.4191 0.2371
0.0753 0.5809 0.7629
0.4191 0.9247 0.2371
0.8553 0.8553 0.4342
0.1447 0.1447 0.5658
0.0000 0.0000 0.0000

***

Rb2SrCd (GGA-PBE, optimized geometry); ΔE_f = 0.139 eV per atom; E_tot = -3.975 eV per formula unit; density of states at the Fermi level = 0.32 states/eV per atom; total magnetization = 0.0 μB/cell
1.0
-8.9152 -7.7945 1.1246
5.6752 -5.1812 9.0800
-3.2402 -4.3092 7.3582
Sr Cd Rb
2 2 4
Direct
0.5000 0.5000 0.0000
0.2500 0.7500 0.5000
0.7500 0.2500 0.5000
0.0000 0.0000 0.0000
0.7111 0.1250 0.2500
0.8750 0.9611 0.7500
0.0389 0.6250 0.2500
0.3750 0.2889 0.7500

***

RbSrCd2 (GGA-PBE, optimized geometry); ΔE_f = -0.050 eV per atom; E_tot = -4.678 eV per formula unit; density of states at the Fermi level = 1.05 states/eV per atom; total magnetization = 0.0 μB/cell; distance to the lowest polymorph of the same formula = 0.067 eV/atom
1.0
0.0251 1.8451 5.6991
1.0288 5.7612 1.2786
-4.4450 3.4532 2.0499
Cd Sr Rb
2 1 1
Direct
0.2500 0.2500 0.2500
0.7500 0.7500 0.7500
0.5000 0.5000 0.5000
0.0000 0.0000 0.0000

***

RbSrTlCd (GGA-PBE, optimized geometry); ΔE_f = -0.072 eV per atom; E_tot = -6.220 eV per formula unit; density of states at the Fermi level = 1.10 states/eV per atom; total magnetization = 0.0 μB/cell
1.0
-1.6406 -2.4159 -5.2255
-0.6804 -5.9284 -0.4742
-5.4723 -2.3440 -0.6269
Cd Sr Tl Rb
1 1 1 1
Direct
0.7500 0.7500 0.7500
0.5000 0.5000 0.5000
0.2500 0.2500 0.2500
0.0000 0.0000 0.0000

***

RbTaCd3 (GGA-PBE, optimized geometry); ΔE_f = 0.682 eV per atom; E_tot = -12.154 eV per formula unit; density of states at the Fermi level = 0.72 states/eV per atom; total magnetization = 2.8 μB/cell; distance to the lowest polymorph of the same formula = 0.000 eV/atom
1.0
5.6241 0.0000 0.0000
0.0000 5.6241 0.0000
0.0000 0.0000 5.6241
Ta Rb Cd
1 1 3
Direct
0.0000 0.0000 0.0000
0.5000 0.5000 0.5000
0.0000 0.0000 0.5000
0.0000 0.5000 0.0000
0.5000 0.0000 0.0000

***

Rb3TaCd (GGA-PBE, optimized geometry); ΔE_f = 1.315 eV per atom; E_tot = -9.096 eV per formula unit; density of states at the Fermi level = 1.66 states/eV per atom; total magnetization = 5.9 μB/cell; distance to the lowest polymorph of the same formula = 0.000 eV/atom
1.0
-4.9111 -3.7640 3.3964
5.0237 -2.9764 3.9656
-0.6826 5.1765 4.7498
Rb Cd Ta
3 1 1
Direct
0.0000 0.0000 0.5000
0.0000 0.5000 0.0000
0.5000 0.0000 0.0000
0.5000 0.5000 0.5000
0.0000 0.0000 0.0000